Entry from OQMD: a relaxed PrDyCu2As2P2 crystal (GGA-PBE).

Lattice parameters (Å, degrees): 3.860 3.860 9.939 90.00 90.00 90.00
Positions (direct):
As (0.500, 0.000, 0.009)
As (0.000, 0.500, 0.009)
Cu (0.500, 0.000, 0.495)
Cu (0.000, 0.500, 0.495)
Dy (0.000, 0.000, 0.245)
P (0.500, 0.500, 0.347)
P (0.000, 0.000, 0.641)
Pr (0.500, 0.500, 0.758)

Total magnetic moment (μB per formula unit): 0.0
Uncorrected energy (eV/atom): -5.494
Symmetry: No. 99
Calculated density (g/cm³): 7.20